Record 1
Crystalline Th2Zr2S7 at its relaxed geometry. Source: Alexandria, functional GGA-PBE.

abc: 8.319 8.319 8.319
angles: 153.00 68.45 118.45
Sites, in units of the cell vectors:
Th1 0.228 0.000 0.228
Th2 0.772 0.000 0.772
Zr1 0.253 0.253 0.000
Zr2 0.677 0.177 0.500
S1 0.067 0.698 0.370
S2 0.328 0.698 0.630
S3 0.406 0.513 0.893
S4 0.612 0.289 0.324
S5 0.619 0.513 0.107
S6 0.913 0.913 0.000
S7 0.965 0.289 0.676

Symmetry = Imm2 (44)
Formation energy without anion corrections = -1.7084 eV/atom


Record 2
Crystalline ThZrS2 at its relaxed geometry. Source: Alexandria, functional GGA-PBE.

abc: 6.955 6.955 6.955
angles: 31.61 31.61 31.61
Sites, in units of the cell vectors:
Th1 0.000 0.000 0.000
Zr1 0.500 0.500 0.500
S1 0.241 0.241 0.241
S2 0.759 0.759 0.759

Offset from the most stable computed form = 0.000 eV per formula unit
Symmetry = R-3m (166)
Formation energy without anion corrections = -1.5954 eV/atom


The evaluated M_tot for the records listed, in turn: 0.001, 0.000 μB/cell.